# 1
NdPuNiS4: optimized geometry, GGA-PBE.

Summary:
Total magnetization   0.599 μB/atom
N(E_F)   16.12 states/eV per cell
Theoretical density   6.83 g/cm3
SG   P2_1/m
Total DFT energy (no corrections)   -7.3052 eV per atom

```
NdPuNiS4
1.0
6.557 0.000 0.000
0.000 5.659 0.000
-2.293 0.000 7.542
Nd Pu Ni S
2 2 2 8
Cartesian
0.530 1.415 3.254
3.734 4.244 4.288
-0.525 1.415 7.090
4.789 4.244 0.452
1.294 4.244 1.372
2.970 1.415 6.170
-0.398 4.244 2.853
-1.563 4.244 6.801
1.457 2.889 5.664
1.457 5.599 5.664
2.807 0.060 1.878
2.807 2.770 1.878
5.827 1.415 0.740
4.662 1.415 4.689
```

---

# 2
Nd2PuNi4Sb3: optimized geometry, GGA-PBE.

Summary:
Total magnetization   0.514 μB/atom
N(E_F)   10.79 states/eV per cell
Theoretical density   9.08 g/cm3
SG   P-4m2
Total DFT energy (no corrections)   -6.5069 eV per atom

```
Nd2PuNi4Sb3
1.0
4.439 0.000 0.000
0.000 4.439 0.000
0.000 0.000 10.505
Nd Pu Ni Sb
2 1 4 3
Cartesian
0.000 2.220 2.313
2.220 0.000 8.192
0.000 0.000 5.253
0.000 0.000 0.000
0.000 2.220 6.728
2.220 0.000 3.777
2.220 2.220 0.000
0.000 2.220 9.202
2.220 0.000 1.303
2.220 2.220 5.253
```

---

# 3
NdPuZnNi: optimized geometry, GGA-PBE.

Summary:
Total magnetization   1.396 μB/atom
N(E_F)   39.29 states/eV per cell
Theoretical density   9.60 g/cm3
SG   F-43m
E_form   -0.075 eV per atom
Total DFT energy (no corrections)   -6.6133 eV per atom

```
NdPuZnNi
1.0
7.077 0.000 0.000
0.000 7.077 0.000
0.000 0.000 7.077
Nd Pu Zn Ni
4 4 4 4
Cartesian
0.000 0.000 0.000
0.000 3.539 3.539
3.539 0.000 3.539
3.539 3.539 0.000
0.000 0.000 3.539
0.000 3.539 0.000
3.539 0.000 0.000
3.539 3.539 3.539
1.769 1.769 5.308
1.769 5.308 1.769
5.308 1.769 1.769
5.308 5.308 5.308
1.769 1.769 1.769
1.769 5.308 5.308
5.308 1.769 5.308
5.308 5.308 1.769
```

---

# 4
Nd2ReNi: optimized geometry, GGA-PBE.

Summary:
Total magnetization   0.000 μB/atom
N(E_F)   15.94 states/eV per cell
Theoretical density   10.26 g/cm3
SG   R-3m
E_form   0.903 eV per atom
Total DFT energy (no corrections)   -6.0386 eV per atom

```
Nd2ReNi
1.0
3.108 0.000 0.000
-1.554 2.691 0.000
0.000 0.000 30.963
Nd Re Ni
6 3 3
Cartesian
0.000 0.000 2.862
0.000 0.000 28.101
0.000 1.794 17.780
0.000 1.794 23.504
1.554 0.897 7.459
1.554 0.897 13.183
0.000 0.000 0.000
0.000 1.794 20.642
1.554 0.897 10.321
0.000 0.000 15.481
0.000 1.794 5.160
1.554 0.897 25.802
```